Pm3Pb5Se12 (PBE, relaxed); symmetry = Ia-3d (230); M_tot = 0.00 μB/cell; DFT total energy = -362.6 eV/cell
1.0
-14.027 -1.469 -4.707
3.323 -11.168 9.237
1.500 12.954 7.144
Pm Pb Se
12 20 48
Cartesian
-9.087 -3.670 0.826
-9.594 -8.042 3.702
-1.830 -0.831 9.627
-2.529 3.094 2.657
-11.484 0.557 -1.178
-2.808 -4.292 5.794
-6.396 4.609 5.880
2.279 -0.240 12.852
-6.675 -2.778 9.017
-7.374 1.148 2.046
0.390 8.359 7.972
-0.118 3.987 10.847
-0.132 -1.133 4.661
1.662 -5.584 4.618
0.000 0.000 0.000
-4.242 -1.724 1.437
-6.264 5.742 1.218
-5.352 -6.318 2.265
1.301 -3.702 9.018
-8.793 8.837 3.875
-7.881 -3.224 4.921
-3.720 7.768 4.747
-5.484 -7.452 6.926
-4.602 0.158 5.837
-7.014 -0.734 -2.354
0.750 6.477 3.572
-1.323 3.541 6.752
-0.411 -8.520 7.798
2.412 0.893 8.190
-10.506 4.019 2.655
-4.962 2.040 10.236
-9.072 1.450 7.012
-9.648 -1.917 -1.709
-2.146 -1.327 6.557
-11.632 -1.855 0.815
-6.841 -1.521 0.493
-4.792 -0.296 8.754
-11.031 -5.708 2.183
-1.430 -3.744 8.546
2.058 -8.499 9.058
-4.066 -2.705 10.750
-8.002 -5.398 3.204
-8.826 -1.445 3.016
-8.507 -10.701 4.953
1.263 -1.120 10.029
-3.517 -4.051 2.758
2.376 -5.704 10.607
-4.464 5.386 3.539
-0.293 0.914 2.799
-3.861 -7.040 4.716
-8.185 -7.899 6.489
-0.485 -3.734 3.767
-0.731 -1.053 12.545
-5.452 -2.660 6.134
-9.243 -3.393 7.330
-8.371 7.032 5.937
-3.752 2.977 5.539
0.039 3.710 4.343
-0.833 -6.715 5.736
-1.019 8.216 5.184
-8.473 1.370 -0.872
-8.719 4.051 7.906
-5.343 7.356 6.957
-4.741 -5.069 8.134
-8.911 -0.597 8.875
-11.581 6.021 1.067
-10.467 1.437 1.644
-0.697 11.018 6.721
-5.688 4.368 8.915
-5.138 3.022 0.923
-1.202 5.715 8.469
-0.378 1.762 8.657
-11.262 8.816 2.615
-7.774 4.061 3.128
-2.363 1.838 11.180
1.826 6.025 9.490
-4.413 0.613 2.919
2.428 2.172 10.858
-7.058 1.644 5.116
0.444 2.234 13.382

CuPRu2 (PBE, relaxed); symmetry = Pmmm (47); M_tot = 0.00 μB/cell; energy of formation = 30 kJ/mol of atoms; DFT total energy = -26.8 eV/cell
1.0
2.813 0.000 0.000
0.000 4.639 0.000
0.000 0.000 4.121
Cu P Ru
1 1 2
Cartesian
1.407 0.000 2.060
0.000 2.319 2.060
0.000 0.000 0.000
1.407 2.319 0.000

AcGaAg (PBE, relaxed); energy relative to the lowest polymorph listed for this composition = 0.124 eV per atom; symmetry = Cmcm (63); M_tot = 0.00 μB/cell; energy of formation = -33 kJ/mol of atoms; DFT total energy = -22.0 eV/cell
1.0
-0.624 -1.779 3.900
1.074 -4.364 -4.224
6.042 0.381 1.140
Ac Ag Ga
2 2 2
Cartesian
1.505 -2.902 1.323
4.987 -2.860 -0.506
3.021 0.190 0.570
0.000 0.000 0.000
2.139 -4.249 -1.596
4.353 -1.513 2.412

ScSiPb2 (PBE, relaxed); symmetry = Cm (8); M_tot = 0.00 μB/cell; DFT total energy = -19.3 eV/cell
1.0
-4.885 -1.512 1.351
-2.135 -2.666 4.039
-2.482 3.439 4.016
Pb Sc Si
2 1 1
Cartesian
-6.765 -3.837 5.274
-7.084 -0.699 6.947
-4.776 -1.010 4.453
-2.650 0.259 2.822